Density functional theory data (GGA+U) for a relaxed Tl2CrCoF6 crystal.

a b c (Å): 6.0545 6.0545 6.0545
angles (deg): 120.88 119.17 89.97
Fractional coordinates of all 10 atoms:
Tl: 0.2484 0.2484 0.0000
Tl: 0.7516 0.7516 0.0000
Cr: 0.0000 0.5000 0.5000
Co: 0.5000 0.0000 0.5000
F: 0.2463 0.7463 0.5000
F: 0.2654 0.2427 0.5081
F: 0.2654 0.7573 0.0227
F: 0.7346 0.2427 0.9773
F: 0.7346 0.7573 0.4919
F: 0.7537 0.2537 0.5000

Output
The size of the total moment comes out at 5.0 μB per formula unit. Its total energy is -4.721 eV/atom.